(1)
A plane-wave DFT calculation with GGA-PBE was carried out for a relaxed structure of AcNdY3.

```
AcNdY3
1.0
6.032 0.452 0.000
-2.370 5.565 0.000
0.000 0.000 10.578
Ac Nd Y
2 2 6
Cartesian
3.880 2.846 7.933
0.745 4.753 2.644
3.363 5.525 0.000
3.363 5.525 5.289
2.862 1.937 0.696
2.862 1.937 4.592
1.523 0.510 7.933
0.405 3.432 5.985
0.405 3.432 9.881
-0.247 1.587 2.644
```

Output
Energy, eV per atom: -5.408
Formation enthalpy at 0 K, eV/f.u.: 1.23
ρ, g/cm³: 5.78
Density of states at the Fermi level, states/eV per cell: 18.46

(2)
A plane-wave DFT calculation with GGA-PBE was carried out for a relaxed structure of K2Bi2Br7.

```
K2Bi2Br7
1.0
-1.535 0.787 7.350
6.929 -3.705 0.480
5.551 5.524 -0.796
K Bi Br
2 2 7
Cartesian
5.827 -1.072 3.846
5.118 3.679 3.189
8.001 2.104 6.577
2.944 0.503 0.458
9.183 -0.494 1.803
2.368 -0.960 5.793
1.762 3.101 5.231
8.577 3.567 1.242
0.000 0.000 0.000
5.483 1.591 5.583
5.462 1.016 1.451
```

Output
Energy, eV per atom: -2.944
E_form (uncorrected), kJ/mol of formula units: -1034
ρ, g/cm³: 4.00
Density of states at the Fermi level, states/eV per cell: 3.12

(3)
A plane-wave DFT calculation with GGA-PBE was carried out for a relaxed structure of LaPuAl4.

```
LaPuAl4
1.0
-4.213 3.747 0.006
-4.861 -1.227 2.580
-1.407 2.653 4.772
La Al Pu
1 4 1
Cartesian
-2.620 1.293 1.839
-5.850 1.903 2.204
-4.113 3.854 3.306
-6.557 3.236 4.604
-4.439 1.352 4.601
0.000 0.000 0.000
```

Output
Energy, eV per atom: -6.106
Formation enthalpy at 0 K, eV/f.u.: -2.41
ρ, g/cm³: 6.43
Density of states at the Fermi level, states/eV per cell: 12.26

(4)
A plane-wave DFT calculation with GGA-PBE was carried out for a relaxed structure of AlNi2SnPt.

```
AlNi2SnPt
1.0
-1.323 -3.432 2.981
3.119 1.573 3.196
-3.207 2.770 1.766
Ni Sn Pt Al
2 1 1 1
Cartesian
1.560 0.786 1.598
-0.662 -1.716 1.490
-0.705 0.456 3.971
0.000 0.000 0.000
-1.603 1.385 0.883
```

Output
Energy, eV per atom: -4.588
Formation enthalpy at 0 K, eV/f.u.: 2.41
ρ, g/cm³: 7.39
Density of states at the Fermi level, states/eV per cell: 7.85

(5)
A plane-wave DFT calculation with GGA-PBE was carried out for a relaxed structure of ZnFe2Cl.

```
ZnFe2Cl
1.0
2.891 0.000 0.000
0.000 4.862 0.000
0.000 0.000 4.235
Zn Fe Cl
1 2 1
Cartesian
1.445 0.000 2.117
0.000 0.000 0.000
1.445 2.431 0.000
0.000 2.431 2.117
```

Output
Energy, eV per atom: -4.578
E_form (uncorrected), kJ/mol of formula units: 167
ρ, g/cm³: 5.93
Density of states at the Fermi level, states/eV per cell: 3.55